BeAs2Pb PBE relaxed; magnetic moment = 0.00 μB per atom; DOS at the Fermi energy = 0.366 states/eV/atom; SG = Cmmm (65); volume = 21.1 Å³ per atom; total DFT energy (no corrections) = -3.585 eV/atom
1.0
2.835 -3.818 0.000
2.835 3.818 0.000
0.000 0.000 3.900
Be As Pb
1 2 1
Direct
0.000 0.000 0.000 Be
0.000 0.500 0.500 As
0.500 0.000 0.500 As
0.500 0.500 0.000 Pb